No. 1
First-principles (PBE-GGA) data for Tb2SmTe after structural relaxation, as listed in Alexandria via LeMat-Bulk.

It has space group R-3m (No. 166, hexagonal axes), with a = 3.8507 Å, b = 3.8507 Å, c = 32.3090 Å, α = 90.00°, β = 90.00° and γ = 120.00°. The distinct sites, in fractional coordinates, are Tb at (0.0000, 0.0000, 0.1030), Sm at (0.0000, 0.0000, 0.0000) and Te at (0.0000, 0.0000, 0.5000).

Its density of states at the Fermi level is 15.433 states/eV per cell. Its total energy is -4.53 eV/atom. As for the spin magnetization: 1.4 μB/f.u. The calculation puts the uncorrected formation energy at -246 meV/atom.

---

No. 2
First-principles (PBE-GGA) data for YInIr2 after structural relaxation, as listed in Alexandria via LeMat-Bulk.

It has space group P4mm (No. 99), with a = 3.0862 Å, b = 3.0862 Å, c = 8.0985 Å, α = 90.00°, β = 90.00° and γ = 90.00°. The distinct sites, in fractional coordinates, are Y at (0.0000, 0.0000, 0.0000), In at (0.5000, 0.5000, 0.3256), Ir at (0.0000, 0.0000, 0.5476) and Ir at (0.5000, 0.5000, 0.7630).

Its density of states at the Fermi level is 4.210 states/eV per cell. Its total energy is -6.82 eV/atom. As for the spin magnetization: 0.0 μB/f.u. The value obtained for the formation energy is -92 meV per atom.

---

No. 3
First-principles (PBE-GGA) data for TmIn2GaCl6 after structural relaxation, as listed in Alexandria via LeMat-Bulk.

It has space group R3 (No. 146, hexagonal axes), with a = 7.6638 Å, b = 7.6638 Å, c = 19.2084 Å, α = 90.00°, β = 90.00° and γ = 120.00°. The distinct sites, in fractional coordinates, are Tm at (0.0000, 0.0000, 0.0000), In at (0.0000, 0.0000, 0.2944), In at (0.0000, 0.0000, 0.7868), Ga at (0.0000, 0.0000, 0.5091), Cl at (0.0163, 0.4242, 0.7386) and Cl at (0.0923, 0.7173, 0.5809).

Its density of states at the Fermi level is 0.000 states/eV per cell. Its total energy is -3.80 eV/atom. As for the spin magnetization: 0.0 μB/f.u. The calculation puts the uncorrected formation energy at -1391 meV/atom.

---

No. 4
First-principles (PBE-GGA) data for PmNi5B2 after structural relaxation, as listed in Alexandria via LeMat-Bulk.

It has space group Immm (No. 71), with a = 3.4866 Å, b = 6.1954 Å, c = 8.5820 Å, α = 90.00°, β = 90.00° and γ = 90.00°. The distinct sites, in fractional coordinates, are Pm at (0.0000, 0.0000, 0.0000), Ni at (0.0000, 0.1904, 0.3388), Ni at (0.0000, 0.5000, 0.0000) and B at (0.0000, 0.5000, 0.2334).

Its density of states at the Fermi level is 8.578 states/eV per cell. Its total energy is -6.27 eV/atom. As for the spin magnetization: 0.0 μB/f.u. The value obtained for the formation energy is -391 meV per atom.

---

No. 5
First-principles (PBE-GGA) data for SmAlInPd3 after structural relaxation, as listed in Alexandria via LeMat-Bulk.

It has space group Cmcm (No. 63), with a = 6.9859 Å, b = 12.3219 Å, c = 5.8310 Å, α = 90.00°, β = 90.00° and γ = 90.00°. The distinct sites, in fractional coordinates, are Sm at (0.0000, 0.1902, 0.2500), Al at (0.0000, 0.1273, 0.7500), In at (0.0000, 0.4399, 0.2500), Pd at (0.0000, 0.3273, 0.7500) and Pd at (0.1972, 0.0000, 0.0000).

Its density of states at the Fermi level is 5.910 states/eV per cell. Its total energy is -5.01 eV/atom. As for the spin magnetization: 0.0 μB/f.u. The value obtained for the formation energy is -544 meV per atom.

---

No. 6
First-principles (PBE-GGA) data for RbCaHgCl5 after structural relaxation, as listed in Alexandria via LeMat-Bulk.

It has space group C2/c (No. 15), with a = 9.2175 Å, b = 12.4866 Å, c = 10.1036 Å, α = 90.00°, β = 112.80° and γ = 90.00°. The distinct sites, in fractional coordinates, are Rb at (0.0000, 0.1641, 0.2500), Ca at (0.0000, 0.5000, 0.0000), Hg at (0.0000, 0.1840, 0.7500), Cl at (0.0000, 0.4276, 0.2500), Cl at (0.1100, 0.2941, 0.5993) and Cl at (0.1862, 0.0568, 0.9393).

Its density of states at the Fermi level is 0.000 states/eV per cell. Its total energy is -3.19 eV/atom. As for the spin magnetization: 0.0 μB/f.u. The calculation puts the uncorrected formation energy at -1623 meV/atom.

---

No. 7
First-principles (PBE-GGA) data for ScMn3Zn after structural relaxation, as listed in Alexandria via LeMat-Bulk.

It has space group Pm-3m (No. 221), with a = 4.6154 Å, b = 4.6154 Å, c = 4.6154 Å, α = 90.00°, β = 90.00° and γ = 90.00°. The distinct sites, in fractional coordinates, are Sc at (0.0000, 0.0000, 0.0000), Mn at (0.0000, 0.0000, 0.5000) and Zn at (0.5000, 0.5000, 0.5000).

Its density of states at the Fermi level is 4.281 states/eV per cell. Its total energy is -5.67 eV/atom. As for the spin magnetization: 9.4 μB/f.u. The value obtained for the formation energy is 1355 meV per atom.

---

No. 8
First-principles (PBE-GGA) data for ZrInBr2 after structural relaxation, as listed in Alexandria via LeMat-Bulk.

It has space group P4/mmm (No. 123), with a = 5.4600 Å, b = 5.4600 Å, c = 3.4496 Å, α = 90.00°, β = 90.00° and γ = 90.00°. The distinct sites, in fractional coordinates, are Zr at (0.0000, 0.0000, 0.0000), In at (0.5000, 0.5000, 0.0000) and Br at (0.0000, 0.5000, 0.5000).

Its density of states at the Fermi level is 2.791 states/eV per cell. Its total energy is -3.76 eV/atom. As for the spin magnetization: 1.9 μB/f.u. The calculation puts the uncorrected formation energy at -103 meV/atom.

---

No. 9
First-principles (PBE-GGA) data for HfVSn4 after structural relaxation, as listed in Alexandria via LeMat-Bulk.

It has space group I4/mcm (No. 140), with a = 6.8997 Å, b = 6.8997 Å, c = 11.4827 Å, α = 90.00°, β = 90.00° and γ = 90.00°. The distinct sites, in fractional coordinates, are Hf at (0.0000, 0.0000, 0.0000), V at (0.0000, 0.0000, 0.2500) and Sn at (0.1593, 0.3407, 0.1385).

Its density of states at the Fermi level is 16.170 states/eV per cell. Its total energy is -5.94 eV/atom. As for the spin magnetization: 0.3 μB/f.u. The value obtained for the formation energy is -89 meV per atom.

---

No. 10
First-principles (PBE-GGA) data for Pr4Er5Tl after structural relaxation, as listed in Alexandria via LeMat-Bulk.

It has space group P4/mmm (No. 123), with a = 4.1364 Å, b = 4.1364 Å, c = 18.6350 Å, α = 90.00°, β = 90.00° and γ = 90.00°. The distinct sites, in fractional coordinates, are Pr at (0.0000, 0.0000, 0.1032), Pr at (0.0000, 0.0000, 0.3056), Er at (0.5000, 0.5000, 0.0000), Er at (0.5000, 0.5000, 0.2078), Er at (0.5000, 0.5000, 0.4133) and Tl at (0.0000, 0.0000, 0.5000).

Its density of states at the Fermi level is 15.721 states/eV per cell. Its total energy is -4.40 eV/atom. As for the spin magnetization: 0.0 μB/f.u. The value obtained for the formation energy is 30 meV per atom.

---

No. 11
First-principles (PBE-GGA) data for Ac2TmRh after structural relaxation, as listed in Alexandria via LeMat-Bulk.

It has space group R-3m (No. 166, hexagonal axes), with a = 3.7494 Å, b = 3.7494 Å, c = 33.7314 Å, α = 90.00°, β = 90.00° and γ = 120.00°. The distinct sites, in fractional coordinates, are Ac at (0.0000, 0.0000, 0.0777), Tm at (0.0000, 0.0000, 0.5000) and Rh at (0.0000, 0.0000, 0.0000).

Its density of states at the Fermi level is 14.555 states/eV per cell. Its total energy is -4.68 eV/atom. As for the spin magnetization: 0.0 μB/f.u. The value obtained for the formation energy is 325 meV per atom.

---

No. 12
First-principles (PBE-GGA) data for Sc2CrAs after structural relaxation, as listed in Alexandria via LeMat-Bulk.

It has space group I-42d (No. 122), with a = 7.4628 Å, b = 7.4628 Å, c = 5.9287 Å, α = 90.00°, β = 90.00° and γ = 90.00°. The distinct sites, in fractional coordinates, are Sc at (0.2346, 0.2500, 0.1250), Cr at (0.0000, 0.0000, 0.5000) and As at (0.0000, 0.0000, 0.0000).

Its density of states at the Fermi level is 18.490 states/eV per cell. Its total energy is -6.73 eV/atom. As for the spin magnetization: 3.3 μB/f.u. The value obtained for the formation energy is 4 meV per atom.